Entry 1:
A geometry-optimized MnFeAs2Se structure. Source: the Alexandria database, functional GGA-PBE.

Computed properties:
distance to the lowest polymorph of the same formula: 0.000 eV/atom
crystal system: tetragonal
total moment: 5.3 μB per formula unit
density of states at the Fermi level: 5.60 states/eV/f.u.

abc: 4.560 4.560 4.993
angles: 90.00 90.00 90.00
Fractional coordinates of all 5 atoms:
Mn (0.000, 0.000, 0.000)
Fe (0.500, 0.500, 0.500)
As (0.000, 0.500, 0.000)
As (0.500, 0.000, 0.000)
Se (0.000, 0.000, 0.500)

=====

Entry 2:
A geometry-optimized YHf3As structure. Source: the Alexandria database, functional GGA-PBE.

Computed properties:
distance to the lowest polymorph of the same formula: 1.664 eV/atom
crystal system: cubic
DFT formation energy: 798.0 kJ/mol of formula units
total moment: 0.0 μB per formula unit
density of states at the Fermi level: 9.15 states/eV/f.u.

abc: 5.156 5.156 5.156
angles: 90.00 90.00 90.00
Fractional coordinates of all 5 atoms:
Y (0.000, 0.000, 0.000)
Hf (0.000, 0.000, 0.500)
Hf (0.000, 0.500, 0.000)
Hf (0.500, 0.000, 0.000)
As (0.500, 0.500, 0.500)

=====

Entry 3:
A geometry-optimized Li2ZrMn structure. Source: the Alexandria database, functional GGA-PBE.

Computed properties:
distance to the lowest polymorph of the same formula: 0.158 eV/atom
crystal system: trigonal
DFT formation energy: 133.6 kJ/mol of formula units
total moment: 3.2 μB per formula unit
density of states at the Fermi level: 3.07 states/eV/f.u.

abc: 10.273 10.273 10.273
angles: 16.01 16.01 16.01
Fractional coordinates of all 4 atoms:
Li (0.243, 0.243, 0.243)
Li (0.757, 0.757, 0.757)
Zr (0.000, 0.000, 0.000)
Mn (0.500, 0.500, 0.500)

=====

Entry 4:
A geometry-optimized KSn2BiF8 structure. Source: the Alexandria database, functional GGA-PBE.

Computed properties:
crystal system: triclinic
total moment: 0.0 μB per formula unit
DFT total energy: -4.760 eV per atom
density of states at the Fermi level: 0.00 states/eV/f.u.

abc: 4.227 6.118 8.348
angles: 86.26 89.84 89.98
Fractional coordinates of all 12 atoms:
K (0.000, 0.000, 0.000)
Sn (0.498, 0.474, 0.239)
Sn (0.502, 0.526, 0.761)
Bi (0.000, 0.000, 0.500)
F (0.001, 0.286, 0.272)
F (0.002, 0.784, 0.290)
F (0.500, 0.198, 0.449)
F (0.500, 0.274, 0.037)
F (0.500, 0.726, 0.963)
F (0.500, 0.802, 0.551)
F (0.998, 0.216, 0.710)
F (0.999, 0.714, 0.728)

=====

Entry 5:
A geometry-optimized Ca3Br structure. Source: the Alexandria database, functional GGA-PBE.

Computed properties:
distance to the lowest polymorph of the same formula: 0.404 eV/atom
crystal system: cubic
total moment: 0.0 μB per formula unit
density of states at the Fermi level: 3.41 states/eV/f.u.

abc: 5.340 5.340 5.340
angles: 90.00 90.00 90.00
Fractional coordinates of all 4 atoms:
Ca (0.000, 0.000, 0.500)
Ca (0.000, 0.500, 0.000)
Ca (0.500, 0.000, 0.000)
Br (0.500, 0.500, 0.500)

=====

Entry 6:
A geometry-optimized Nd5Co2Ag2 structure. Source: the Alexandria database, functional GGA-PBE.

Computed properties:
crystal system: orthorhombic
DFT formation energy: -97.1 kJ/mol of formula units
total moment: 0.0 μB per formula unit
density of states at the Fermi level: 9.97 states/eV/f.u.

abc: 8.984 8.984 7.535
angles: 90.00 90.00 49.47
Fractional coordinates of all 18 atoms:
Nd (0.000, 0.000, 0.000)
Nd (0.058, 0.693, 0.683)
Nd (0.193, 0.558, 0.183)
Nd (0.307, 0.942, 0.683)
Nd (0.442, 0.807, 0.183)
Nd (0.500, 0.500, 0.500)
Nd (0.558, 0.193, 0.817)
Nd (0.693, 0.058, 0.317)
Nd (0.807, 0.442, 0.817)
Nd (0.942, 0.307, 0.317)
Co (0.108, 0.892, 0.391)
Co (0.392, 0.608, 0.891)
Co (0.608, 0.392, 0.109)
Co (0.892, 0.108, 0.609)
Ag (0.219, 0.219, 0.000)
Ag (0.281, 0.281, 0.500)
Ag (0.719, 0.719, 0.500)
Ag (0.781, 0.781, 0.000)

=====

Entry 7:
A geometry-optimized LaCd2Cl structure. Source: the Alexandria database, functional GGA-PBE.

Computed properties:
distance to the lowest polymorph of the same formula: 0.000 eV/atom
crystal system: monoclinic
total moment: 0.0 μB per formula unit
density of states at the Fermi level: 2.44 states/eV/f.u.

abc: 4.762 3.565 6.115
angles: 90.00 90.06 90.00
Fractional coordinates of all 4 atoms:
La (0.000, 0.000, 0.000)
Cd (0.000, 0.500, 0.500)
Cd (0.500, 0.000, 0.500)
Cl (0.500, 0.500, 0.000)

=====

Entry 8:
A geometry-optimized CeCd2In2 structure. Source: the Alexandria database, functional GGA-PBE.

Computed properties:
distance to the lowest polymorph of the same formula: 0.100 eV/atom
crystal system: trigonal
DFT formation energy: -47.2 kJ/mol of formula units
total moment: 0.8 μB per formula unit
density of states at the Fermi level: 7.74 states/eV/f.u.

abc: 5.063 5.063 6.375
angles: 90.00 90.00 120.00
Fractional coordinates of all 5 atoms:
Ce (0.000, 0.000, 0.000)
Cd (0.333, 0.667, 0.264)
Cd (0.667, 0.333, 0.736)
In (0.333, 0.667, 0.747)
In (0.667, 0.333, 0.253)

=====

Entry 9:
A geometry-optimized Nd3YRh structure. Source: the Alexandria database, functional GGA-PBE.

Computed properties:
distance to the lowest polymorph of the same formula: 0.000 eV/atom
crystal system: orthorhombic
DFT formation energy: -109.4 kJ/mol of formula units
total moment: 0.0 μB per formula unit
density of states at the Fermi level: 6.57 states/eV/f.u.

abc: 7.783 6.676 6.337
angles: 90.00 90.00 90.00
Fractional coordinates of all 10 atoms:
Nd (0.000, 0.149, 0.000)
Nd (0.248, 0.313, 0.505)
Nd (0.252, 0.687, 0.005)
Nd (0.500, 0.851, 0.500)
Nd (0.748, 0.687, 0.005)
Nd (0.752, 0.313, 0.505)
Y (0.000, 0.841, 0.512)
Y (0.500, 0.159, 0.012)
Rh (0.000, 0.505, 0.254)
Rh (0.500, 0.495, 0.754)

=====

Entry 10:
A geometry-optimized LaV3P structure. Source: the Alexandria database, functional GGA-PBE.

Computed properties:
distance to the lowest polymorph of the same formula: 0.000 eV/atom
crystal system: cubic
DFT formation energy: 80.5 kJ/mol of formula units
total moment: 4.1 μB per formula unit
density of states at the Fermi level: 8.90 states/eV/f.u.

abc: 4.567 4.567 4.567
angles: 90.00 90.00 90.00
Fractional coordinates of all 5 atoms:
La (0.000, 0.000, 0.000)
V (0.000, 0.500, 0.500)
V (0.500, 0.000, 0.500)
V (0.500, 0.500, 0.000)
P (0.500, 0.500, 0.500)

=====

Entry 11:
A geometry-optimized AsPC structure. Source: the Alexandria database, functional GGA-PBE.

Computed properties:
distance to the lowest polymorph of the same formula: 0.120 eV/atom
crystal system: orthorhombic
DFT formation energy: 144.5 kJ/mol of formula units
total moment: 0.0 μB per formula unit
density of states at the Fermi level: 1.09 states/eV/f.u.

abc: 2.870 2.995 5.948
angles: 90.00 90.00 90.00
Fractional coordinates of all 3 atoms:
As (0.000, 0.000, 0.000)
P (0.500, 0.500, 0.580)
C (0.000, 0.500, 0.772)

=====

Entry 12:
A geometry-optimized TaNbGa structure. Source: the Alexandria database, functional GGA-PBE.

Computed properties:
distance to the lowest polymorph of the same formula: 0.606 eV/atom
crystal system: tetragonal
DFT formation energy: 118.9 kJ/mol of formula units
total moment: 0.0 μB per formula unit
density of states at the Fermi level: 2.46 states/eV/f.u.

abc: 10.156 10.156 10.156
angles: 160.53 160.53 27.67
Fractional coordinates of all 6 atoms:
Ta (0.073, 0.073, 0.000)
Ta (0.927, 0.927, 0.000)
Nb (0.361, 0.361, 0.000)
Nb (0.639, 0.639, 0.000)
Ga (0.215, 0.215, 0.000)
Ga (0.785, 0.785, 0.000)

=====

Entry 13:
A geometry-optimized Ag25Bi3O18 structure. Source: the Alexandria database, functional GGA-PBE.

Computed properties:
crystal system: trigonal
total moment: 0.0 μB per formula unit
DFT total energy: -4.011 eV per atom
density of states at the Fermi level: 18.31 states/eV/f.u.

abc: 11.722 11.722 6.445
angles: 90.00 90.00 120.00
Fractional coordinates of all 46 atoms:
Ag (0.000, 0.000, 0.000)
Ag (0.000, 0.500, 0.000)
Ag (0.000, 0.500, 0.500)
Ag (0.027, 0.751, 0.154)
Ag (0.042, 0.300, 0.339)
Ag (0.238, 0.754, 0.747)
Ag (0.246, 0.484, 0.747)
Ag (0.249, 0.276, 0.154)
Ag (0.258, 0.958, 0.339)
Ag (0.276, 0.027, 0.846)
Ag (0.300, 0.258, 0.661)
Ag (0.484, 0.238, 0.253)
Ag (0.500, 0.000, 0.000)
Ag (0.500, 0.000, 0.500)
Ag (0.500, 0.500, 0.000)
Ag (0.500, 0.500, 0.500)
Ag (0.516, 0.762, 0.747)
Ag (0.700, 0.742, 0.339)
Ag (0.724, 0.973, 0.154)
Ag (0.742, 0.042, 0.661)
Ag (0.751, 0.724, 0.846)
Ag (0.754, 0.516, 0.253)
Ag (0.762, 0.246, 0.253)
Ag (0.958, 0.700, 0.661)
Ag (0.973, 0.249, 0.846)
Bi (0.000, 0.000, 0.500)
Bi (0.333, 0.667, 0.238)
Bi (0.667, 0.333, 0.762)
O (0.084, 0.910, 0.706)
O (0.090, 0.174, 0.706)
O (0.165, 0.689, 0.053)
O (0.174, 0.084, 0.294)
O (0.180, 0.502, 0.444)
O (0.311, 0.476, 0.053)
O (0.322, 0.820, 0.444)
O (0.476, 0.165, 0.947)
O (0.498, 0.678, 0.444)
O (0.502, 0.322, 0.556)
O (0.524, 0.835, 0.053)
O (0.678, 0.180, 0.556)
O (0.689, 0.524, 0.947)
O (0.820, 0.498, 0.556)
O (0.826, 0.916, 0.706)
O (0.835, 0.311, 0.947)
O (0.910, 0.826, 0.294)
O (0.916, 0.090, 0.294)

=====

Entry 14:
A geometry-optimized LiBe2Al structure. Source: the Alexandria database, functional GGA-PBE.

Computed properties:
crystal system: monoclinic
DFT formation energy: 90.9 kJ/mol of formula units
total moment: 0.0 μB per formula unit
density of states at the Fermi level: 0.71 states/eV/f.u.

abc: 4.331 4.331 4.386
angles: 99.91 99.91 35.62
Fractional coordinates of all 4 atoms:
Li (0.000, 0.000, 0.000)
Be (0.246, 0.246, 0.749)
Be (0.754, 0.754, 0.251)
Al (0.500, 0.500, 0.500)

=====

Entry 15:
A geometry-optimized NbGe2PBr structure. Source: the Alexandria database, functional GGA-PBE.

Computed properties:
crystal system: tetragonal
total moment: 2.0 μB per formula unit
DFT total energy: -4.484 eV per atom
density of states at the Fermi level: 4.97 states/eV/f.u.

abc: 5.177 5.177 4.935
angles: 90.00 90.00 90.00
Fractional coordinates of all 5 atoms:
Nb (0.000, 0.000, 0.000)
Ge (0.000, 0.500, 0.000)
Ge (0.500, 0.000, 0.000)
P (0.500, 0.500, 0.500)
Br (0.000, 0.000, 0.500)

=====

Entry 16:
A geometry-optimized Nb5InRu6 structure. Source: the Alexandria database, functional GGA-PBE.

Computed properties:
crystal system: monoclinic
DFT formation energy: -242.4 kJ/mol of formula units
total moment: 0.0 μB per formula unit
density of states at the Fermi level: 9.89 states/eV/f.u.

abc: 4.592 6.202 7.029
angles: 90.00 103.64 90.00
Fractional coordinates of all 12 atoms:
Nb (0.000, 0.000, 0.000)
Nb (0.317, 0.000, 0.672)
Nb (0.319, 0.500, 0.674)
Nb (0.681, 0.500, 0.326)
Nb (0.683, 0.000, 0.328)
In (0.000, 0.500, 0.000)
Ru (0.194, 0.251, 0.348)
Ru (0.194, 0.749, 0.348)
Ru (0.500, 0.246, 0.000)
Ru (0.500, 0.754, 0.000)
Ru (0.806, 0.251, 0.652)
Ru (0.806, 0.749, 0.652)

=====

Entry 17:
A geometry-optimized Fe3ReN structure. Source: the Alexandria database, functional GGA-PBE.

Computed properties:
distance to the lowest polymorph of the same formula: 0.000 eV/atom
crystal system: cubic
total moment: 5.3 μB per formula unit
density of states at the Fermi level: 7.19 states/eV/f.u.

abc: 3.790 3.790 3.790
angles: 90.00 90.00 90.00
Fractional coordinates of all 5 atoms:
Fe (0.000, 0.000, 0.500)
Fe (0.000, 0.500, 0.000)
Fe (0.500, 0.000, 0.000)
Re (0.500, 0.500, 0.500)
N (0.000, 0.000, 0.000)

=====

Entry 18:
A geometry-optimized SmDy2Mg structure. Source: the Alexandria database, functional GGA-PBE.

Computed properties:
distance to the lowest polymorph of the same formula: 0.076 eV/atom
crystal system: monoclinic
DFT formation energy: 17.5 kJ/mol of formula units
total moment: 0.0 μB per formula unit
density of states at the Fermi level: 5.74 states/eV/f.u.

abc: 3.529 3.529 11.513
angles: 98.87 98.87 59.85
Fractional coordinates of all 4 atoms:
Sm (0.000, 0.000, 0.000)
Dy (0.420, 0.420, 0.258)
Dy (0.581, 0.581, 0.745)
Mg (0.168, 0.168, 0.501)

=====

Entry 19:
A geometry-optimized Hg2PtBr structure. Source: the Alexandria database, functional GGA-PBE.

Computed properties:
distance to the lowest polymorph of the same formula: 0.081 eV/atom
crystal system: orthorhombic
total moment: 0.0 μB per formula unit
density of states at the Fermi level: 2.18 states/eV/f.u.

abc: 5.722 5.722 4.384
angles: 90.00 90.00 127.32
Fractional coordinates of all 4 atoms:
Hg (0.168, 0.832, 0.000)
Hg (0.832, 0.168, 0.000)
Pt (0.000, 0.000, 0.500)
Br (0.500, 0.500, 0.500)

=====

Entry 20:
A geometry-optimized RbSr3 structure. Source: the Alexandria database, functional GGA-PBE.

Computed properties:
distance to the lowest polymorph of the same formula: 0.062 eV/atom
crystal system: tetragonal
DFT formation energy: 50.3 kJ/mol of formula units
total moment: 0.0 μB per formula unit
density of states at the Fermi level: 4.18 states/eV/f.u.

abc: 7.618 7.618 7.618
angles: 131.86 131.86 70.46
Fractional coordinates of all 4 atoms:
Rb (0.000, 0.000, 0.000)
Sr (0.250, 0.750, 0.500)
Sr (0.500, 0.500, 0.000)
Sr (0.750, 0.250, 0.500)